This record from the Alexandria database describes a geometry-optimized NdSm6Cd6 structure. The functional is PBE.

Computed properties:
**Mass density**: 7.7 g/cm³
**Energy relative to the elements**: -169 meV/atom
**Crystal system**: hexagonal

a b c (Å): 6.1243 6.1243 11.4810
angles (deg): 90.00 90.00 120.00
With the nearest neighbours (Å) after each atom.
Space group P6/mmm (No. 191)
Symmetry-distinct sites (fractional):
Nd: 0.0000 0.0000 0.0000 x1  6 Sm 3.54
Sm: 0.0000 0.0000 0.3480 x2  6 Cd 3.30, 1 Sm 3.49
Sm: 0.3333 0.6667 0.0000 x2  6 Cd 3.28, 3 Nd 3.54, 3 Sm 3.54
Sm: 0.3333 0.6667 0.5000 x2  6 Cd 3.47, 3 Sm 3.54
Cd: 0.0000 0.5000 0.2403 x6  4 Cd 3.06, 4 Sm 3.28-3.30

This record from the Alexandria database describes a geometry-optimized TaBeCr structure. The functional is PBE.

Computed properties:
**Energy above the lowest structure with this stoichiometry**: 57.5 kJ per mole of atoms
**Mass density**: 9.6 g/cm³
**Energy relative to the elements**: 485 meV/atom
**Crystal system**: cubic

a b c (Å): 5.5029 5.5029 5.5029
angles (deg): 90.00 90.00 90.00
With the nearest neighbours (Å) after each atom.
Space group F-43m (No. 216)
Symmetry-distinct sites (fractional):
Ta: 0.0000 0.0000 0.0000 x4  4 Be 2.38
Be: 0.2500 0.2500 0.2500 x4  4 Cr 2.38, 4 Ta 2.38
Cr: 0.0000 0.0000 0.5000 x4  4 Be 2.38

This record from the Alexandria database describes a geometry-optimized PmYMnZn structure. The functional is PBE.

Computed properties:
**Mass density**: 6.3 g/cm³
**Energy relative to the elements**: -24 meV/atom
**Crystal system**: cubic

a b c (Å): 7.2084 7.2084 7.2084
angles (deg): 90.00 90.00 90.00
With the nearest neighbours (Å) after each atom.
Space group F-43m (No. 216)
Symmetry-distinct sites (fractional):
Pm: 0.0000 0.0000 0.0000 x4  4 Mn 3.12, 4 Zn 3.12
Y: 0.0000 0.0000 0.5000 x4  4 Mn 3.12, 4 Zn 3.12
Mn: 0.2500 0.2500 0.7500 x4  4 Pm 3.12, 4 Y 3.12
Zn: 0.2500 0.2500 0.2500 x4  4 Pm 3.12, 4 Y 3.12

This record from the Alexandria database describes a geometry-optimized As2PbCl structure. The functional is PBE.

Computed properties:
**E_form (uncorrected)**: 353 meV/atom
**Mass density**: 7.0 g/cm³
**Crystal system**: trigonal

a b c (Å): 3.3871 3.3871 27.9810
angles (deg): 90.00 90.00 120.00
With the nearest neighbours (Å) after each atom.
Space group R-3m (No. 166, hexagonal axes)
Symmetry-distinct sites (fractional):
As: 0.0000 0.0000 0.2459 x6  3 Cl 2.96, 3 Pb 3.13
Pb: 0.0000 0.0000 0.0000 x3  6 As 3.13, 6 Pb 3.39
Cl: 0.0000 0.0000 0.5000 x3  6 As 2.96

This record from the Alexandria database describes a geometry-optimized Pu4GaRu structure. The functional is PBE.

Computed properties:
**Energy above the lowest structure with this stoichiometry**: 1.9 kJ per mole of atoms
**Mass density**: 14.5 g/cm³
**Energy relative to the elements**: -25 meV/atom
**Crystal system**: monoclinic

a b c (Å): 5.2386 9.6186 5.2024
angles (deg): 90.00 90.56 90.00
With the nearest neighbours (Å) after each atom.
Space group C2/m (No. 12)
Symmetry-distinct sites (fractional):
Pu: 0.0000 0.1545 0.0000 x4  5 Pu 2.97-3.20, 2 Ru 3.00, 3 Ga 3.01-3.32
Pu: 0.0000 0.3433 0.5000 x4  2 Ga 3.01, 5 Pu 3.02-3.17, 3 Ru 3.02-3.30
Ga: 0.0000 0.5000 0.0000 x2  10 Pu 3.01-3.32
Ru: 0.0000 0.0000 0.5000 x2  10 Pu 3.00-3.30

This record from the Alexandria database describes a geometry-optimized Pr3HoTh structure. The functional is PBE.

Computed properties:
**Energy above the lowest structure with this stoichiometry**: 23.1 kJ per mole of atoms
**Mass density**: 7.9 g/cm³
**Energy relative to the elements**: 300 meV/atom
**Crystal system**: trigonal

a b c (Å): 6.8800 6.8800 25.2757
angles (deg): 90.00 90.00 120.00
With the nearest neighbours (Å) after each atom.
Space group R-3m (No. 166, hexagonal axes)
Symmetry-distinct sites (fractional):
Pr: 0.0142 0.5071 0.3860 x18  6 Pr 3.29-3.59, 2 Ho 3.48-3.52, 2 Th 3.62
Ho: 0.0000 0.0000 0.1634 x6  6 Pr 3.48-3.52
Th: 0.0000 0.0000 0.4308 x6  1 Th 3.50, 6 Pr 3.62

This record from the Alexandria database describes a geometry-optimized ErHfBi2 structure. The functional is PBE.

Computed properties:
**Energy above the lowest structure with this stoichiometry**: 0.0 kJ per mole of atoms
**Mass density**: 11.0 g/cm³
**Energy relative to the elements**: -335 meV/atom
**Crystal system**: trigonal

a b c (Å): 4.2182 4.2182 22.4695
angles (deg): 90.00 90.00 120.00
With the nearest neighbours (Å) after each atom.
Space group R3m (No. 160, hexagonal axes)
Symmetry-distinct sites (fractional):
Er: 0.0000 0.0000 0.0000 x3  6 Bi 3.08-3.15
Hf: 0.0000 0.0000 0.1705 x3  6 Bi 3.01-3.05
Bi: 0.0000 0.0000 0.4225 x3  3 Hf 3.05, 3 Er 3.15
Bi: 0.0000 0.0000 0.5829 x3  3 Hf 3.01, 3 Er 3.08

This record from the Alexandria database describes a geometry-optimized Na2LiHg structure. The functional is PBE.

Computed properties:
**Mass density**: 4.0 g/cm³
**Energy relative to the elements**: -99 meV/atom
**Crystal system**: tetragonal

a b c (Å): 4.0168 4.0168 6.5056
angles (deg): 90.00 90.00 90.00
With the nearest neighbours (Å) after each atom.
Space group P4/mmm (No. 123)
Symmetry-distinct sites (fractional):
Na: 0.0000 0.0000 0.2429 x2  2 Na 3.16-3.34, 4 Hg 3.25, 4 Li 3.30
Li: 0.5000 0.5000 0.5000 x1  2 Hg 3.25, 8 Na 3.30
Hg: 0.5000 0.5000 0.0000 x1  8 Na 3.25, 2 Li 3.25